A relaxed structure of MnTlIn2Co, computed with PBEsol.

The space group is P4/mmm (No. 123) and the conventional cell measures 4.9228, 4.9228 and 4.9695 Å, with angles of 90.00, 90.00 and 90.00 degrees. Symmetry generates all atoms from Mn at (0.0000, 0.0000, 0.0000), Tl at (0.0000, 0.0000, 0.5000), In at (0.0000, 0.5000, 0.0000) and Co at (0.5000, 0.5000, 0.5000).

Its formation energy is 1.002 eV/atom. The calculation puts the total magnetization at 4.3 μB/f.u. As for the density of states at the Fermi level: 0.720 states/eV per atom.